Record 1
# TiNbN2

An optimized crystal structure of TiNbN2 (GGA-PBE, Alexandria via LeMat-Bulk).

Results
DOS(E_F)	2.7	states/eV per cell
calculated density	6.7	g/cm³

Cell: 3.089 3.089 4.360 Å, 90.00 90.00 90.00°
Fractional coordinates of all 4 atoms:
N 0.500 0.500 0.000
N 0.000 0.000 0.500
Ti 0.000 0.000 0.000
Nb 0.500 0.500 0.500

---

Record 2
# TiNbN2

An optimized crystal structure of TiNbN2 (GGA-PBE, Alexandria via LeMat-Bulk).

Results
DOS(E_F)	2.1	states/eV per cell
calculated density	6.7	g/cm³

Cell: 3.002 3.002 5.644 Å, 74.58 74.58 60.00°
Fractional coordinates of all 4 atoms:
Ti 0.495 0.495 0.515
N 0.249 0.249 0.254
N 0.087 0.087 0.739
Nb 0.669 0.669 0.992

---

Record 3
# Ti5NbN6

An optimized crystal structure of Ti5NbN6 (GGA-PBE, Alexandria via LeMat-Bulk).

Results
DOS(E_F)	4.8	states/eV per cell
calculated density	5.8	g/cm³

Cell: 5.256 5.250 5.253 Å, 60.02 80.37 70.45°
Fractional coordinates of all 12 atoms:
Ti 0.500 0.167 0.666
Ti 0.500 0.833 0.334
Ti 0.000 0.665 0.669
Ti 0.500 0.500 0.000
Ti 0.000 0.335 0.331
N 0.744 0.744 0.000
N 0.746 0.085 0.342
N 0.746 0.427 0.658
N 0.256 0.256 0.000
N 0.254 0.573 0.342
N 0.254 0.915 0.658
Nb 0.000 0.000 0.000

---

Record 4
# TiNbN2

An optimized crystal structure of TiNbN2 (GGA-PBE, Alexandria via LeMat-Bulk).

Results
DOS(E_F)	5.5	states/eV per cell
calculated density	5.4	g/cm³

Cell: 4.704 4.704 5.744 Å, 65.83 65.83 90.00°
Fractional coordinates of all 8 atoms:
Ti 0.250 0.750 0.500
Ti 0.500 0.500 0.000
Nb 0.750 0.250 0.500
Nb 0.000 0.000 0.000
N 0.614 0.125 0.250
N 0.136 0.625 0.250
N 0.375 0.386 0.750
N 0.875 0.864 0.750

---

Record 5
# TiNb2N

An optimized crystal structure of TiNb2N (GGA-PBE, Alexandria via LeMat-Bulk).

Results
relative energy among the computed polymorphs	0	meV per atom
DOS(E_F)	6.0	states/eV per cell
calculated density	7.0	g/cm³

Cell: 2.848 4.850 8.620 Å, 90.00 90.00 100.11°
Fractional coordinates of all 8 atoms:
Nb 0.279 0.758 0.921
Nb 0.279 0.758 0.579
Nb 0.721 0.242 0.421
Nb 0.721 0.242 0.079
Ti 0.114 0.238 0.750
Ti 0.886 0.762 0.250
N 0.706 0.559 0.750
N 0.294 0.441 0.250

---

Record 6
# TiNb3N

An optimized crystal structure of TiNb3N (GGA-PBE, Alexandria via LeMat-Bulk).

Results
relative energy among the computed polymorphs	0	meV per atom
DOS(E_F)	3.7	states/eV per cell
calculated density	7.1	g/cm³

Cell: 4.296 4.296 4.296 Å, 90.00 90.00 90.00°
Fractional coordinates of all 5 atoms:
Nb 0.000 0.000 0.500
Nb 0.000 0.500 0.000
Nb 0.500 0.000 0.000
Ti 0.500 0.500 0.500
N 0.000 0.000 0.000

---

Record 7
# TiNbN2

An optimized crystal structure of TiNbN2 (GGA-PBE, Alexandria via LeMat-Bulk).

Results
DOS(E_F)	1.0	states/eV per cell
calculated density	7.2	g/cm³

Cell: 3.813 3.813 3.813 Å, 60.00 60.00 60.00°
Fractional coordinates of all 4 atoms:
N 0.750 0.750 0.750
N 0.250 0.250 0.250
Nb 0.500 0.500 0.500
Ti 0.000 0.000 0.000

---

Record 8
# TiNbN2

An optimized crystal structure of TiNbN2 (GGA-PBE, Alexandria via LeMat-Bulk).

Results
DOS(E_F)	4.3	states/eV per cell
calculated density	6.8	g/cm³

Cell: 5.339 5.339 5.339 Å, 131.78 131.78 70.58°
Fractional coordinates of all 8 atoms:
N 0.994 0.494 0.500
N 0.506 0.006 0.500
N 0.756 0.756 0.000
N 0.244 0.244 0.000
Ti 0.000 0.000 0.000
Ti 0.750 0.250 0.500
Nb 0.250 0.750 0.500
Nb 0.500 0.500 0.000

---

Record 9
# TiNb2VN

An optimized crystal structure of TiNb2VN (GGA-PBE, Alexandria via LeMat-Bulk).

Results
DOS(E_F)	5.1	states/eV per cell
calculated density	6.8	g/cm³

Cell: 4.401 4.401 3.793 Å, 90.00 90.00 90.00°
Fractional coordinates of all 5 atoms:
V 0.000 0.000 0.500
Nb 0.000 0.500 0.000
Nb 0.500 0.000 0.000
N 0.000 0.000 0.000
Ti 0.500 0.500 0.500

---

Record 10
# TiNbV2N

An optimized crystal structure of TiNbV2N (GGA-PBE, Alexandria via LeMat-Bulk).

Results
DOS(E_F)	4.7	states/eV per cell
calculated density	6.3	g/cm³

Cell: 3.954 3.954 4.298 Å, 90.00 90.00 90.00°
Fractional coordinates of all 5 atoms:
Ti 0.000 0.000 0.500
N 0.000 0.000 0.000
Nb 0.500 0.500 0.500
V 0.500 0.000 0.000
V 0.000 0.500 0.000

---

Record 11
# Ti2NbVN

An optimized crystal structure of Ti2NbVN (GGA-PBE, Alexandria via LeMat-Bulk).

Results
DOS(E_F)	4.3	states/eV per cell
calculated density	6.0	g/cm³

Cell: 4.232 4.232 3.911 Å, 90.00 90.00 90.00°
Fractional coordinates of all 5 atoms:
Ti 0.500 0.000 0.000
Ti 0.000 0.500 0.000
V 0.000 0.000 0.500
N 0.000 0.000 0.000
Nb 0.500 0.500 0.500

---

Record 12
# TiNb2ZnN

An optimized crystal structure of TiNb2ZnN (GGA-PBE, Alexandria via LeMat-Bulk).

Results
DOS(E_F)	4.1	states/eV per cell
calculated density	7.0	g/cm³

Cell: 4.321 4.321 3.982 Å, 90.00 90.00 90.00°
Fractional coordinates of all 5 atoms:
Zn 0.500 0.500 0.500
N 0.000 0.000 0.000
Nb 0.000 0.500 0.000
Nb 0.500 0.000 0.000
Ti 0.000 0.000 0.500

---

Record 13
# Ti2NbZnN

An optimized crystal structure of Ti2NbZnN (GGA-PBE, Alexandria via LeMat-Bulk).

Results
DOS(E_F)	2.1	states/eV per cell
calculated density	6.2	g/cm³

Cell: 4.058 4.058 4.359 Å, 90.00 90.00 90.00°
Fractional coordinates of all 5 atoms:
N 0.000 0.000 0.000
Ti 0.500 0.000 0.000
Ti 0.000 0.500 0.000
Zn 0.500 0.500 0.500
Nb 0.000 0.000 0.500

---

Record 14
# ZrTi2NbN4

An optimized crystal structure of ZrTi2NbN4 (GGA-PBE, Alexandria via LeMat-Bulk).

Results
DOS(E_F)	2.3	states/eV per cell
calculated density	6.6	g/cm³

Cell: 3.099 5.378 5.411 Å, 109.49 90.00 90.00°
Fractional coordinates of all 8 atoms:
Ti 0.500 0.000 0.500
Ti 0.000 0.500 0.500
Zr 0.500 0.500 0.000
N 0.500 0.254 0.269
N 0.000 0.241 0.731
N 0.500 0.746 0.731
N 0.000 0.759 0.269
Nb 0.000 0.000 0.000

---

Record 15
# ZrTiNb2N

An optimized crystal structure of ZrTiNb2N (GGA-PBE, Alexandria via LeMat-Bulk).

Results
DOS(E_F)	4.1	states/eV per cell
calculated density	7.0	g/cm³

Cell: 4.470 4.470 4.038 Å, 90.00 90.00 90.00°
Fractional coordinates of all 5 atoms:
N 0.000 0.000 0.000
Ti 0.000 0.000 0.500
Nb 0.000 0.500 0.000
Nb 0.500 0.000 0.000
Zr 0.500 0.500 0.500

---

Record 16
# NbTl2N

An optimized crystal structure of NbTl2N (GGA-PBE, Alexandria via LeMat-Bulk).

Results
relative energy among the computed polymorphs	0	meV per atom
DOS(E_F)	8.9	states/eV per cell
calculated density	11.3	g/cm³

Cell: 7.285 7.285 5.889 Å, 51.80 51.80 90.00°
Fractional coordinates of all 8 atoms:
Tl 0.875 0.814 0.750
Tl 0.375 0.436 0.750
Tl 0.186 0.625 0.250
Tl 0.564 0.125 0.250
Nb 0.750 0.250 0.500
Nb 0.000 0.000 0.000
N 0.500 0.500 0.000
N 0.250 0.750 0.500

---

Record 17
# NbTl2N

An optimized crystal structure of NbTl2N (GGA-PBE, Alexandria via LeMat-Bulk).

Results
relative energy among the computed polymorphs	443	meV per atom
DOS(E_F)	5.9	states/eV per cell
calculated density	10.9	g/cm³

Cell: 4.806 4.806 4.806 Å, 60.00 60.00 60.00°
Fractional coordinates of all 4 atoms:
Tl 0.250 0.250 0.250
Tl 0.750 0.750 0.750
N 0.000 0.000 0.000
Nb 0.500 0.500 0.500

---

Record 18
# NbTlN2

An optimized crystal structure of NbTlN2 (GGA-PBE, Alexandria via LeMat-Bulk).

Results
relative energy among the computed polymorphs	127	meV per atom
DOS(E_F)	1.0	states/eV per cell
calculated density	8.6	g/cm³

Cell: 7.407 7.407 7.407 Å, 24.82 24.82 24.82°
Fractional coordinates of all 4 atoms:
N 0.117 0.117 0.117
N 0.883 0.883 0.883
Nb 0.500 0.500 0.500
Tl 0.000 0.000 0.000

---

Record 19
# NbTlN2

An optimized crystal structure of NbTlN2 (GGA-PBE, Alexandria via LeMat-Bulk).

Results
relative energy among the computed polymorphs	1527	meV per atom
DOS(E_F)	3.6	states/eV per cell
calculated density	10.7	g/cm³

Cell: 4.145 4.145 4.145 Å, 60.00 60.00 60.00°
Fractional coordinates of all 4 atoms:
Nb 0.000 0.000 0.000
N 0.750 0.750 0.750
N 0.250 0.250 0.250
Tl 0.500 0.500 0.500

---

Record 20
# NbTlN2

An optimized crystal structure of NbTlN2 (GGA-PBE, Alexandria via LeMat-Bulk).

Results
relative energy among the computed polymorphs	0	meV per atom
DOS(E_F)	0.0	states/eV per cell
calculated density	6.9	g/cm³

Cell: 5.932 5.932 6.113 Å, 60.97 60.97 90.00°
Fractional coordinates of all 8 atoms:
Nb 0.500 0.500 0.000
Nb 0.250 0.750 0.500
N 0.875 0.730 0.750
N 0.270 0.625 0.250
N 0.375 0.520 0.750
N 0.480 0.125 0.250
Tl 0.000 0.000 0.000
Tl 0.750 0.250 0.500

---

no.,raw formation energy (eV per atom)
1,-1.28
2,-1.22
3,-1.59
4,-1.05
5,-0.47
6,-0.47
7,-0.70
8,-1.31
9,-0.53
10,-0.53
11,-0.63
12,-0.58
13,-0.75
14,-1.49
15,-0.58
16,1.11
17,1.55
18,-0.24
19,1.16
20,-0.37